## BaSc2Os (GGA-PBE)

Data for BaSc2Os after structural relaxation.

Unit cell a=3.314 b=3.314 c=9.566 alpha=90.00 beta=90.00 gamma=89.98
Sites, in units of the cell vectors:
Os: 0.500 0.500 0.750
Ba: 0.500 0.500 0.250
Sc: 0.000 0.000 0.592
Sc: 0.000 0.000 0.908

Summary:
energy relative to the lowest polymorph listed for this composition: 0.0 meV per atom
space-group type: No. 123
energy of formation from the pure elements: -108 meV per atom